ScIrBr2: relaxed, PBEsol.

Results
Its space group is P4mm, No. 99. The uncorrected formation energy comes out at -42.24 kJ/mol of atoms.

Lattice parameters (Å, degrees): 3.138 3.138 8.569 90.00 90.00 89.99
Atoms (fractional coordinates):
Br (0.000, 0.000, 0.067)
Br (0.500, 0.500, 0.686)
Ir (0.000, 0.000, 0.471)
Sc (0.500, 0.500, 0.277)